Entry 1:
A plane-wave DFT calculation with PBE was carried out for a relaxed structure of ZrGaGeAs2.

extended XYZ file:
```
5
Lattice="-4.161 -2.256 0.586 1.981 -2.582 4.126 -1.483 3.488 2.895" Properties=species:S:1:pos:R:3 pbc="T T T"
Ga 0.000 0.000 0.000
As -0.742 1.744 1.448
Zr 0.991 -1.291 2.063
As -2.080 -1.128 0.293
Ge -1.831 -0.675 3.804
```

Values from the calculation:
V: 120 Å³/f.u.
Density: 5.3 Mg/m³
Calculated formation energy: 0.648 eV/atom
Crystal system: tetragonal
Total energy: -4.45 eV/atom


Entry 2:
A plane-wave DFT calculation with PBE was carried out for a relaxed structure of Ga2AsH.

extended XYZ file:
```
4
Lattice="4.212 0.000 0.000 2.106 3.648 0.000 2.106 1.216 5.850" Properties=species:S:1:pos:R:3 pbc="T T T"
Ga 6.318 3.648 1.794
H 0.000 0.000 0.000
Ga 2.106 1.216 4.057
As 4.212 2.432 2.925
```

Values from the calculation:
V: 90 Å³/f.u.
Density: 4.0 Mg/m³
Crystal system: trigonal
Total energy: -3.43 eV/atom


Entry 3:
A plane-wave DFT calculation with PBE was carried out for a relaxed structure of Ga3AsH.

extended XYZ file:
```
5
Lattice="5.100 0.000 0.000 0.000 5.100 0.000 0.000 0.000 5.100" Properties=species:S:1:pos:R:3 pbc="T T T"
Ga 0.000 0.000 2.550
Ga 2.550 0.000 0.000
Ga 0.000 2.550 0.000
As 0.000 0.000 0.000
H 2.550 2.550 2.550
```

Values from the calculation:
V: 133 Å³/f.u.
Density: 3.6 Mg/m³
Crystal system: cubic
Total energy: -2.63 eV/atom


Entry 4:
A plane-wave DFT calculation with PBE was carried out for a relaxed structure of Ga2AsH6.

extended XYZ file:
```
9
Lattice="-1.745 -2.343 4.348 1.975 1.331 4.665 -2.933 2.673 3.419" Properties=species:S:1:pos:R:3 pbc="T T T"
H 0.460 1.103 5.371
H -0.490 -0.173 7.740
H -3.163 0.558 7.061
H -1.137 2.559 7.234
As 0.000 0.000 0.000
Ga -2.027 1.246 9.324
H -1.566 -0.898 5.198
H -2.213 1.834 4.692
Ga -0.676 0.415 3.108
```

Values from the calculation:
V: 102 Å³/f.u.
Density: 3.6 Mg/m³
Crystal system: cubic
Total energy: -2.89 eV/atom


Entry 5:
A plane-wave DFT calculation with PBE was carried out for a relaxed structure of GaAsH2.

extended XYZ file:
```
4
Lattice="-1.548 -3.596 0.366 -1.006 -1.355 3.551 -3.795 -0.421 0.941" Properties=species:S:1:pos:R:3 pbc="T T T"
Ga 0.000 0.000 0.000
As -3.175 -2.686 2.429
H -1.587 -1.343 1.214
H -4.762 -4.029 3.643
```

Values from the calculation:
V: 43 Å³/f.u.
Density: 5.7 Mg/m³
Crystal system: cubic
Total energy: -2.91 eV/atom


Entry 6:
A plane-wave DFT calculation with PBE was carried out for a relaxed structure of GaAsH.

extended XYZ file:
```
3
Lattice="-0.696 -3.801 -0.029 1.754 -0.347 3.426 -3.392 2.587 -0.180" Properties=species:S:1:pos:R:3 pbc="T T T"
H -2.137 -1.596 3.112
Ga -0.472 -1.895 2.229
As -1.200 0.215 0.636
```

Values from the calculation:
V: 49 Å³/f.u.
Density: 4.9 Mg/m³
Crystal system: tetragonal
Total energy: -3.50 eV/atom


Entry 7:
A plane-wave DFT calculation with PBE was carried out for a relaxed structure of GaAsH3.

extended XYZ file:
```
5
Lattice="3.680 0.000 0.000 0.000 3.680 0.000 0.000 0.000 3.680" Properties=species:S:1:pos:R:3 pbc="T T T"
H 0.000 0.000 1.840
H 0.000 1.840 0.000
As 1.840 1.840 1.840
H 1.840 0.000 0.000
Ga 0.000 0.000 0.000
```

Values from the calculation:
V: 50 Å³/f.u.
Density: 4.9 Mg/m³
Crystal system: cubic
Total energy: -2.81 eV/atom


Entry 8:
A plane-wave DFT calculation with PBE was carried out for a relaxed structure of Ga3AsH.

extended XYZ file:
```
5
Lattice="4.350 0.000 0.000 0.000 4.350 0.000 0.000 0.000 4.350" Properties=species:S:1:pos:R:3 pbc="T T T"
Ga 2.175 0.000 0.000
H 0.000 0.000 0.000
Ga 0.000 2.175 0.000
As 2.175 2.175 2.175
Ga 0.000 0.000 2.175
```

Values from the calculation:
V: 82 Å³/f.u.
Density: 5.8 Mg/m³
Crystal system: cubic
Total energy: -3.20 eV/atom


Entry 9:
A plane-wave DFT calculation with PBE was carried out for a relaxed structure of Ga2AsH.

extended XYZ file:
```
4
Lattice="0.000 3.175 3.175 3.175 0.000 3.175 3.175 3.175 0.000" Properties=species:S:1:pos:R:3 pbc="T T T"
Ga 1.587 1.587 1.587
As 3.175 3.175 3.175
H 0.000 0.000 0.000
Ga 4.762 4.762 4.762
```

Values from the calculation:
V: 64 Å³/f.u.
Density: 5.6 Mg/m³
Crystal system: cubic
Total energy: -3.19 eV/atom


Entry 10:
A plane-wave DFT calculation with PBE was carried out for a relaxed structure of GaAs3H.

extended XYZ file:
```
5
Lattice="-3.127 -2.646 1.456 2.754 -1.638 2.938 -1.239 3.036 2.854" Properties=species:S:1:pos:R:3 pbc="T T T"
As 1.377 -0.819 1.469
As -0.619 1.518 1.427
As -1.564 -1.323 0.728
H 0.000 0.000 0.000
Ga -0.806 -0.624 3.624
```

Values from the calculation:
V: 82 Å³/f.u.
Density: 6.0 Mg/m³
Crystal system: cubic
Total energy: -3.54 eV/atom


Entry 11:
A plane-wave DFT calculation with PBE was carried out for a relaxed structure of GaAs3H.

extended XYZ file:
```
5
Lattice="-3.428 -1.904 -3.047 3.273 -3.391 -1.564 -1.481 -3.088 3.595" Properties=species:S:1:pos:R:3 pbc="T T T"
As -1.714 -0.952 -1.524
As 1.637 -1.695 -0.782
Ga 0.000 0.000 0.000
As -0.741 -1.544 1.798
H -0.818 -4.191 -0.508
```

Values from the calculation:
V: 122 Å³/f.u.
Density: 4.0 Mg/m³
Crystal system: cubic
Total energy: -2.90 eV/atom


Entry 12:
A plane-wave DFT calculation with PBE was carried out for a relaxed structure of GaAsH2.

extended XYZ file:
```
8
Lattice="4.505 0.000 0.000 0.000 4.505 0.000 2.253 2.253 5.582" Properties=species:S:1:pos:R:3 pbc="T T T"
As 4.505 2.253 2.791
H 4.643 1.126 1.395
H 5.631 2.390 4.186
H 4.367 3.379 1.395
Ga 2.253 4.505 2.791
As 0.000 0.000 0.000
H 3.379 2.115 4.186
Ga 2.253 2.253 0.000
```

Values from the calculation:
V: 57 Å³/f.u.
Density: 4.3 Mg/m³
Crystal system: tetragonal
Total energy: -3.16 eV/atom


Copy entry 5 word for word.
A plane-wave DFT calculation with PBE was carried out for a relaxed structure of GaAsH2.

extended XYZ file:
```
4
Lattice="-1.548 -3.596 0.366 -1.006 -1.355 3.551 -3.795 -0.421 0.941" Properties=species:S:1:pos:R:3 pbc="T T T"
Ga 0.000 0.000 0.000
As -3.175 -2.686 2.429
H -1.587 -1.343 1.214
H -4.762 -4.029 3.643
```

Values from the calculation:
V: 43 Å³/f.u.
Density: 5.7 Mg/m³
Crystal system: cubic
Total energy: -2.91 eV/atom


> What is the formula in the sixth record?

GaAsH


> V of number 3 (Ga3AsH)?

133 Å³/f.u.